First-principles (GGA-PBEsol) data for an optimized crystal structure of Hf2Ag2Pb, as listed in Alexandria via LeMat-Bulk.

Cell and atoms, written as POSCAR:
```
Hf2Ag2Pb
1.0
-0.9604 3.6212 -2.1773
-3.6158 -1.8596 -1.4978
-0.7360 1.1733 6.5877
Pb Hf Ag
1 2 2
direct
0.0000 0.0000 0.0000
0.2500 0.7500 0.5000
0.7500 0.2500 0.5000
0.6057 0.6057 0.2114
0.3943 0.3943 0.7886
```

N(E_F) = 2.83 states/eV per cell
energy of formation = 0.31 eV/atom
total energy = -30.05 eV for the cell shown